[1]
{"formula": "NaMgTe2", "functional": "GGA-PBE", "state": "relaxed", "m_tot_mub_per_atom": 0.000, "raw_formation_energy_ev_per_atom": -0.62, "energy_ev_per_atom": -2.92, "dos_ef_per_ev_cell": 2.2, "lattice_angstrom": [[-2.376, 5.151, -5.767], [-6.945, -4.074, -0.777], [-6.169, 2.635, -0.778]], "species": ["Te", "Te", "Te", "Te", "Na", "Na", "Mg", "Mg"], "fractional_positions": [[0.099, 0.625, 0.250], [0.875, 0.901, 0.750], [0.375, 0.349, 0.750], [0.651, 0.125, 0.250], [0.250, 0.750, 0.500], [0.500, 0.500, 0.000], [0.750, 0.250, 0.500], [0.000, 0.000, 0.000]]}

---

[2]
{"formula": "La5ErPb5", "functional": "GGA-PBE", "state": "relaxed", "m_tot_mub_per_atom": 0.000, "energy_ev_per_atom": -4.73, "dos_ef_per_ev_cell": 9.0, "lattice_angstrom": [[-4.293, 4.368, 0.812], [-2.284, -5.234, -7.425], [-2.579, -3.632, 5.900]], "species": ["Pb", "Pb", "Pb", "Pb", "Pb", "La", "La", "La", "La", "La", "Er"], "fractional_positions": [[0.159, 0.319, 0.387], [0.841, 0.681, 0.613], [0.500, 0.000, 0.000], [0.838, 0.676, 0.083], [0.162, 0.324, 0.917], [0.662, 0.325, 0.766], [0.000, 0.000, 0.500], [0.338, 0.675, 0.234], [0.680, 0.360, 0.268], [0.320, 0.640, 0.732], [0.000, 0.000, 0.000]]}

---

[3]
{"formula": "CrMoRh2", "functional": "GGA-PBE", "state": "relaxed", "m_tot_mub_per_atom": 0.000, "de_polymorph_mev_per_atom": 122.2, "energy_ev_per_atom": -8.78, "dos_ef_per_ev_cell": 5.3, "lattice_angstrom": [[-0.221, 8.266, 3.281], [-2.839, 8.024, 2.587], [-1.979, 7.092, 4.992]], "species": ["Mo", "Rh", "Rh", "Cr"], "fractional_positions": [[0.750, 0.750, 0.750], [0.995, 0.995, 0.995], [0.505, 0.505, 0.505], [0.250, 0.250, 0.250]]}

---

[4]
{"formula": "Ta2NiPt", "functional": "GGA-PBE", "state": "relaxed", "m_tot_mub_per_atom": 0.000, "energy_ev_per_atom": -8.99, "dos_ef_per_ev_cell": 4.2, "lattice_angstrom": [[9.246, 0.017, 0.010], [8.805, 2.819, 0.010], [8.805, 1.383, 2.456]], "species": ["Ni", "Ta", "Ta", "Pt"], "fractional_positions": [[0.250, 0.250, 0.250], [0.996, 0.996, 0.996], [0.504, 0.504, 0.504], [0.750, 0.750, 0.750]]}

---

[5]
{"formula": "Tl4HgSb2", "functional": "GGA-PBE", "state": "relaxed", "m_tot_mub_per_atom": 0.000, "de_polymorph_mev_per_atom": 0.0, "raw_formation_energy_ev_per_atom": 0.03, "energy_ev_per_atom": -2.54, "dos_ef_per_ev_cell": 1.6, "lattice_angstrom": [[4.959, 0.000, 1.606], [2.220, 4.435, 1.606], [-0.795, -0.491, 10.918]], "species": ["Tl", "Tl", "Tl", "Tl", "Hg", "Sb", "Sb"], "fractional_positions": [[0.798, 0.798, 0.605], [0.380, 0.380, 0.861], [0.620, 0.620, 0.139], [0.202, 0.202, 0.395], [0.000, 0.000, 0.000], [0.092, 0.092, 0.724], [0.908, 0.908, 0.276]]}

---

[6]
{"formula": "Ta2Al2VNi5", "functional": "GGA-PBE", "state": "relaxed", "m_tot_mub_per_atom": 0.000, "energy_ev_per_atom": -7.11, "dos_ef_per_ev_cell": 12.0, "lattice_angstrom": [[-0.829, 1.140, -2.580], [-4.949, -7.928, -1.913], [-7.699, 3.803, 4.155]], "species": ["Ta", "Ta", "Ta", "Ta", "Ni", "Ni", "Ni", "Ni", "Ni", "Ni", "Ni", "Ni", "Ni", "Ni", "Al", "Al", "Al", "Al", "V", "V"], "fractional_positions": [[0.000, 0.326, 0.826], [0.000, 0.826, 0.674], [0.000, 0.674, 0.174], [0.000, 0.174, 0.326], [0.500, 0.544, 0.691], [0.500, 0.500, 0.000], [0.500, 0.956, 0.191], [0.500, 0.809, 0.956], [0.500, 0.691, 0.456], [0.500, 0.309, 0.544], [0.500, 0.000, 0.500], [0.500, 0.044, 0.809], [0.500, 0.191, 0.044], [0.500, 0.456, 0.309], [0.000, 0.871, 0.371], [0.000, 0.129, 0.629], [0.000, 0.629, 0.871], [0.000, 0.371, 0.129], [0.000, 0.000, 0.000], [0.000, 0.500, 0.500]]}